No. 1
## NdY2TmTl2 (PBE)

Data for a geometry-optimized NdY2TmTl2 structure.

The space group is Pmc2_1 (No. 26) and the conventional cell measures 5.105, 10.019 and 6.921 Å, with angles of 90.00, 90.00 and 90.00 degrees. The distinct sites, in fractional coordinates, are Nd at (0.000, 0.047, 0.000), Y at (0.000, 0.316, 0.387), Y at (0.500, 0.452, 0.097), Tm at (0.500, 0.193, 0.717), Tl at (0.000, 0.368, 0.840) and Tl at (0.500, 0.133, 0.267).

The value obtained for the total energy is -28.6 eV per formula unit. For the formation enthalpy at 0 K, the calculation gives -0.285 eV/atom.



No. 2
## LiNi3Rh (PBE)

Data for a geometry-optimized LiNi3Rh structure.

The space group is Pnma (No. 62) and the conventional cell measures 6.712, 5.296 and 6.688 Å, with angles of 90.00, 90.00 and 90.00 degrees. The distinct sites, in fractional coordinates, are Li at (0.173, 0.250, 0.177), Ni at (0.125, 0.005, 0.875), Ni at (0.175, 0.750, 0.165) and Rh at (0.000, 0.000, 0.500).

For the offset from the most stable computed form, the calculation gives 0.0424 eV per atom. The value obtained for the total energy is -25.9 eV per formula unit. For the formation enthalpy at 0 K, the calculation gives 0.135 eV/atom.



No. 3
## BeSi2 (PBE)

Data for a geometry-optimized BeSi2 structure.

The space group is Amm2 (No. 38) and the conventional cell measures 3.783, 10.913 and 4.320 Å, with angles of 90.00, 90.00 and 90.00 degrees. The distinct sites, in fractional coordinates, are Be at (0.000, 0.205, 0.000), Si at (0.000, 0.000, 0.878), Si at (0.500, 0.000, 0.558) and Si at (0.500, 0.186, 0.287).

For the offset from the most stable computed form, the calculation gives 0.0056 eV per atom. The value obtained for the total energy is -13.8 eV per formula unit. The formation energy without anion corrections comes out at 0.26 eV per atom.



Repeat the first record exactly.
## NdY2TmTl2 (PBE)

Data for a geometry-optimized NdY2TmTl2 structure.

The space group is Pmc2_1 (No. 26) and the conventional cell measures 5.105, 10.019 and 6.921 Å, with angles of 90.00, 90.00 and 90.00 degrees. The distinct sites, in fractional coordinates, are Nd at (0.000, 0.047, 0.000), Y at (0.000, 0.316, 0.387), Y at (0.500, 0.452, 0.097), Tm at (0.500, 0.193, 0.717), Tl at (0.000, 0.368, 0.840) and Tl at (0.500, 0.133, 0.267).

The value obtained for the total energy is -28.6 eV per formula unit. For the formation enthalpy at 0 K, the calculation gives -0.285 eV/atom.



Which of these has the highest total energy?
BeSi2